No. 1
# CaMoCl2 | Alexandria via LeMat-Bulk | PBE | optimized geometry
data_CaMoCl2
_cell_length_a 6.7440
_cell_length_b 6.7440
_cell_length_c 6.7440
_cell_angle_alpha 146.51
_cell_angle_beta 146.51
_cell_angle_gamma 48.09
_symmetry_space_group_name_H-M 'P 1'
_symmetry_Int_Tables_number 1
_symmetry_space_group_name_Hall 'P 1'
loop_
_atom_site_label
_atom_site_fract_x
_atom_site_fract_y
_atom_site_fract_z
Mo1 0.5000 0.5000 0.0000
Ca1 0.7500 0.2500 0.5000
Cl1 0.0000 0.0000 0.0000
Cl2 0.2500 0.7500 0.5000
# Total DFT energy (no corrections): -4.343 eV per atom
# Raw formation energy: -0.211 eV/atom



No. 2
# Dy3Pu2Co4 | Alexandria via LeMat-Bulk | PBE | optimized geometry
data_Dy3Pu2Co4
_cell_length_a 3.9542
_cell_length_b 5.7428
_cell_length_c 8.6333
_cell_angle_alpha 100.65
_cell_angle_beta 90.00
_cell_angle_gamma 110.14
_symmetry_space_group_name_H-M 'P 1'
_symmetry_Int_Tables_number 1
_symmetry_space_group_name_Hall 'P 1'
loop_
_atom_site_label
_atom_site_fract_x
_atom_site_fract_y
_atom_site_fract_z
Dy1 0.3771 0.7543 0.6155
Dy2 0.0000 0.0000 0.0000
Dy3 0.6229 0.2457 0.3845
Pu1 0.3221 0.6443 0.2170
Pu2 0.6779 0.3557 0.7830
Co1 0.7108 0.4215 0.0855
Co2 0.0857 0.1714 0.6221
Co3 0.9143 0.8286 0.3779
Co4 0.2892 0.5785 0.9145
# Total DFT energy (no corrections): -8.024 eV per atom
# Energy of formation from the pure elements: -1.3 eV per formula unit



No. 3
# AcPm3Pr2S6 | Alexandria via LeMat-Bulk | PBE | optimized geometry
data_AcPm3Pr2S6
_cell_length_a 7.1052
_cell_length_b 7.1052
_cell_length_c 7.1253
_cell_angle_alpha 99.57
_cell_angle_beta 99.57
_cell_angle_gamma 120.17
_symmetry_space_group_name_H-M 'P 1'
_symmetry_Int_Tables_number 1
_symmetry_space_group_name_Hall 'P 1'
loop_
_atom_site_label
_atom_site_fract_x
_atom_site_fract_y
_atom_site_fract_z
Ac1 0.0000 0.0000 0.0000
Pm1 0.1661 0.8339 0.5000
Pm2 0.8339 0.1661 0.5000
Pm3 0.5000 0.5000 0.5000
Pr1 0.3325 0.6675 0.0000
Pr2 0.6675 0.3325 0.0000
S1 0.9126 0.5744 0.7389
S2 0.7476 0.7476 0.2591
S3 0.0874 0.4256 0.2611
S4 0.5744 0.9126 0.7389
S5 0.2524 0.2524 0.7409
S6 0.4256 0.0874 0.2611
# Total DFT energy (no corrections): -6.412 eV per atom
# Raw formation energy: -2.021 eV/atom



No. 4
# Sm3CoAu | Alexandria via LeMat-Bulk | PBE | optimized geometry
data_Sm3CoAu
_cell_length_a 3.8636
_cell_length_b 8.3584
_cell_length_c 8.4503
_cell_angle_alpha 109.04
_cell_angle_beta 90.00
_cell_angle_gamma 90.00
_symmetry_space_group_name_H-M 'P 1'
_symmetry_Int_Tables_number 1
_symmetry_space_group_name_Hall 'P 1'
loop_
_atom_site_label
_atom_site_fract_x
_atom_site_fract_y
_atom_site_fract_z
Sm1 0.7500 0.6687 0.3957
Sm2 0.2500 0.3313 0.6043
Sm3 0.7500 0.3175 0.9648
Sm4 0.2500 0.9458 0.7616
Sm5 0.2500 0.6825 0.0352
Sm6 0.7500 0.0542 0.2384
Co1 0.2500 0.9383 0.4234
Co2 0.7500 0.0617 0.5766
Au1 0.2500 0.3558 0.2440
Au2 0.7500 0.6442 0.7560
# Total DFT energy (no corrections): -5.289 eV per atom
# Energy of formation from the pure elements: -1.9 eV per formula unit



No. 5
# Ca3ZnAu | Alexandria via LeMat-Bulk | PBE | optimized geometry
data_Ca3ZnAu
_cell_length_a 4.2898
_cell_length_b 6.6033
_cell_length_c 10.6985
_cell_angle_alpha 98.77
_cell_angle_beta 101.57
_cell_angle_gamma 90.00
_symmetry_space_group_name_H-M 'P 1'
_symmetry_Int_Tables_number 1
_symmetry_space_group_name_Hall 'P 1'
loop_
_atom_site_label
_atom_site_fract_x
_atom_site_fract_y
_atom_site_fract_z
Ca1 0.9944 0.2565 0.9888
Ca2 0.0056 0.7435 0.0112
Ca3 0.3676 0.9076 0.7352
Ca4 0.6324 0.0924 0.2648
Ca5 0.1817 0.5994 0.3634
Ca6 0.8183 0.4006 0.6366
Zn1 0.7611 0.8990 0.5221
Zn2 0.2389 0.1010 0.4779
Au1 0.5766 0.5216 0.1531
Au2 0.4234 0.4784 0.8469
# Total DFT energy (no corrections): -2.525 eV per atom
# Energy of formation from the pure elements: -2.1 eV per formula unit



No. 6
# CaCdRe2 | Alexandria via LeMat-Bulk | PBE | optimized geometry
data_CaCdRe2
_cell_length_a 3.1222
_cell_length_b 3.1222
_cell_length_c 8.2006
_cell_angle_alpha 90.00
_cell_angle_beta 90.00
_cell_angle_gamma 90.00
_symmetry_space_group_name_H-M 'P 1'
_symmetry_Int_Tables_number 1
_symmetry_space_group_name_Hall 'P 1'
loop_
_atom_site_label
_atom_site_fract_x
_atom_site_fract_y
_atom_site_fract_z
Re1 0.0000 0.0000 0.0394
Re2 0.5000 0.5000 0.2002
Ca1 0.0000 0.0000 0.4733
Cd1 0.5000 0.5000 0.7872
# Total DFT energy (no corrections): -6.723 eV per atom
# Energy of formation from the pure elements: 0.9 eV per formula unit



No. 7
# ZnSbI2 | Alexandria via LeMat-Bulk | PBE | optimized geometry
data_ZnSbI2
_cell_length_a 5.5128
_cell_length_b 5.5128
_cell_length_c 5.5128
_cell_angle_alpha 60.00
_cell_angle_beta 60.00
_cell_angle_gamma 60.00
_symmetry_space_group_name_H-M 'P 1'
_symmetry_Int_Tables_number 1
_symmetry_space_group_name_Hall 'P 1'
loop_
_atom_site_label
_atom_site_fract_x
_atom_site_fract_y
_atom_site_fract_z
I1 0.2500 0.2500 0.2500
I2 0.7500 0.7500 0.7500
Sb1 0.5000 0.5000 0.5000
Zn1 0.0000 0.0000 0.0000
# Total DFT energy (no corrections): -1.792 eV per atom
# Raw formation energy: 0.332 eV/atom



No. 8
# Pr2AlNi3Ge4 | Alexandria via LeMat-Bulk | PBE | optimized geometry
data_Pr2AlNi3Ge4
_cell_length_a 4.1544
_cell_length_b 4.1544
_cell_length_c 10.2090
_cell_angle_alpha 90.00
_cell_angle_beta 90.00
_cell_angle_gamma 90.00
_symmetry_space_group_name_H-M 'P 1'
_symmetry_Int_Tables_number 1
_symmetry_space_group_name_Hall 'P 1'
loop_
_atom_site_label
_atom_site_fract_x
_atom_site_fract_y
_atom_site_fract_z
Pr1 0.5000 0.0000 0.2401
Pr2 0.0000 0.5000 0.7599
Al1 0.5000 0.5000 0.5000
Ni1 0.0000 0.0000 0.5000
Ni2 0.5000 0.0000 0.8805
Ni3 0.0000 0.5000 0.1195
Ge1 0.5000 0.5000 0.0000
Ge2 0.0000 0.0000 0.0000
Ge3 0.5000 0.0000 0.6460
Ge4 0.0000 0.5000 0.3540
# Total DFT energy (no corrections): -5.587 eV per atom
# Energy of formation from the pure elements: -6.8 eV per formula unit



No. 9
# In2Tc2P | Alexandria via LeMat-Bulk | PBE | optimized geometry
data_In2Tc2P
_cell_length_a 3.7466
_cell_length_b 3.7466
_cell_length_c 7.3002
_cell_angle_alpha 75.13
_cell_angle_beta 75.13
_cell_angle_gamma 90.00
_symmetry_space_group_name_H-M 'P 1'
_symmetry_Int_Tables_number 1
_symmetry_space_group_name_Hall 'P 1'
loop_
_atom_site_label
_atom_site_fract_x
_atom_site_fract_y
_atom_site_fract_z
P1 0.0000 0.0000 0.0000
Tc1 0.4107 0.4107 0.1787
Tc2 0.5893 0.5893 0.8213
In1 0.7500 0.2500 0.5000
In2 0.2500 0.7500 0.5000
# Total DFT energy (no corrections): -5.522 eV per atom
# Energy of formation from the pure elements: 4.0 eV per formula unit



No. 10
# Li2MgBi | Alexandria via LeMat-Bulk | PBE | optimized geometry
data_Li2MgBi
_cell_length_a 4.4280
_cell_length_b 4.4280
_cell_length_c 10.4747
_cell_angle_alpha 77.80
_cell_angle_beta 77.80
_cell_angle_gamma 90.00
_symmetry_space_group_name_H-M 'P 1'
_symmetry_Int_Tables_number 1
_symmetry_space_group_name_Hall 'P 1'
loop_
_atom_site_label
_atom_site_fract_x
_atom_site_fract_y
_atom_site_fract_z
Mg1 0.5000 0.5000 0.0000
Mg2 0.2500 0.7500 0.5000
Bi1 0.0000 0.0000 0.0000
Bi2 0.7500 0.2500 0.5000
Li1 0.6579 0.1250 0.2500
Li2 0.0921 0.6250 0.2500
Li3 0.3750 0.3421 0.7500
Li4 0.8750 0.9079 0.7500
# Total DFT energy (no corrections): -2.444 eV per atom
# Energy of formation from the pure elements: -0.5 eV per formula unit



No. 11
# Ho4Al2CdIn | Alexandria via LeMat-Bulk | PBE | optimized geometry
data_Ho4Al2CdIn
_cell_length_a 5.1826
_cell_length_b 5.1826
_cell_length_c 8.9686
_cell_angle_alpha 73.21
_cell_angle_beta 73.21
_cell_angle_gamma 60.00
_symmetry_space_group_name_H-M 'P 1'
_symmetry_Int_Tables_number 1
_symmetry_space_group_name_Hall 'P 1'
loop_
_atom_site_label
_atom_site_fract_x
_atom_site_fract_y
_atom_site_fract_z
Ho1 0.3755 0.3755 0.8736
Ho2 0.8746 0.8746 0.3763
Ho3 0.1254 0.1254 0.6237
Ho4 0.6245 0.6245 0.1264
Al1 0.7515 0.7515 0.7455
Al2 0.2485 0.2485 0.2545
Cd1 0.5000 0.5000 0.5000
In1 0.0000 0.0000 0.0000
# Total DFT energy (no corrections): -4.061 eV per atom
# Energy of formation from the pure elements: -3.0 eV per formula unit



No. 12
# GdAlCo | Alexandria via LeMat-Bulk | PBE | optimized geometry
data_GdAlCo
_cell_length_a 3.1281
_cell_length_b 3.1281
_cell_length_c 5.9220
_cell_angle_alpha 105.31
_cell_angle_beta 105.31
_cell_angle_gamma 90.00
_symmetry_space_group_name_H-M 'P 1'
_symmetry_Int_Tables_number 1
_symmetry_space_group_name_Hall 'P 1'
loop_
_atom_site_label
_atom_site_fract_x
_atom_site_fract_y
_atom_site_fract_z
Gd1 0.0149 0.0149 0.0297
Co1 0.6895 0.6895 0.3790
Al1 0.2956 0.2956 0.5913
# Total DFT energy (no corrections): -8.582 eV per atom
# Energy of formation from the pure elements: -0.8 eV per formula unit



No. 13
# CaSiOs2 | Alexandria via LeMat-Bulk | PBE | optimized geometry
data_CaSiOs2
_cell_length_a 3.0031
_cell_length_b 3.0031
_cell_length_c 7.3426
_cell_angle_alpha 90.00
_cell_angle_beta 90.00
_cell_angle_gamma 90.00
_symmetry_space_group_name_H-M 'P 1'
_symmetry_Int_Tables_number 1
_symmetry_space_group_name_Hall 'P 1'
loop_
_atom_site_label
_atom_site_fract_x
_atom_site_fract_y
_atom_site_fract_z
Ca1 0.5000 0.5000 0.7500
Os1 0.0000 0.0000 0.0647
Os2 0.0000 0.0000 0.4353
Si1 0.5000 0.5000 0.2500
# Total DFT energy (no corrections): -7.315 eV per atom
# Raw formation energy: 0.156 eV/atom